This record from Alexandria describes an optimized crystal structure of CaNiO. The functional is PBE with a Hubbard U.

density of states at the Fermi level	1.1	states/eV per cell
density	3.8	g/cm3
total energy	-26.04	eV/cell
SG	Pm (6)

a b c (Å): 5.4829 3.1139 6.4245
angles (deg): 90.00 113.14 90.00
Element x y z (fractional)
Ca1 0.0000 0.0000 0.0000
Ca2 0.1367 0.0000 0.5439
Ni1 0.4980 0.5000 0.0106
Ni2 0.5127 0.0000 0.3154
O1 0.1015 0.5000 0.7871
O2 0.2317 0.5000 0.3126